(1)
{
  "formula": "La2Tb2Sm4Er",
  "functional": "PBE",
  "state": "relaxed",
  "total_magnetization_mub_per_atom": 0.000,
  "energy_ev_per_atom": -4.722,
  "formation_enthalpy_0k_ev_per_atom": 0.006,
  "space_group": "C2/m",
  "n_ef_per_ev_cell": 12.4,
  "lattice_angstrom": [[3.6642, 0.0000, 0.0000], [-1.8321, 9.4714, -0.4829], [0.0000, -3.7522, 8.9578]],
  "species": ["La", "La", "Er", "Sm", "Sm", "Sm", "Sm", "Tb", "Tb"],
  "fractional_positions": [[0.3349, 0.6699, 0.0018], [0.6651, 0.3301, 0.9982], [0.0000, 0.0000, 0.0000], [0.5191, 0.0383, 0.3344], [0.1858, 0.3715, 0.3351], [0.4809, 0.9617, 0.6656], [0.8142, 0.6285, 0.6649], [0.8528, 0.7056, 0.3355], [0.1472, 0.2944, 0.6645]]
}

(2)
{
  "formula": "Ti4Ga5Ir",
  "functional": "PBE",
  "state": "relaxed",
  "total_magnetization_mub_per_atom": 0.000,
  "energy_ev_per_atom": -5.805,
  "formation_enthalpy_0k_ev_per_atom": -0.248,
  "space_group": "I4",
  "n_ef_per_ev_cell": 7.9,
  "lattice_angstrom": [[5.4182, 0.0000, 0.0000], [2.7091, 5.6064, 0.0000], [2.7091, 0.0000, 5.6064]],
  "species": ["Ga", "Ga", "Ga", "Ga", "Ga", "Ti", "Ti", "Ti", "Ti", "Ir"],
  "fractional_positions": [[0.0412, 0.6499, 0.1699], [0.6911, 0.1699, 0.3501], [0.7001, 0.0000, 0.0000], [0.2111, 0.8301, 0.6499], [0.8610, 0.3501, 0.8301], [0.7369, 0.7741, 0.6366], [0.1476, 0.2259, 0.3634], [0.3735, 0.3634, 0.7741], [0.5110, 0.6366, 0.2259], [0.2368, 0.0000, 0.0000]]
}

(3)
{
  "formula": "Ba6HgPt2Cl3",
  "functional": "PBE",
  "state": "relaxed",
  "total_magnetization_mub_per_atom": 0.000,
  "energy_ev_per_atom": -3.743,
  "space_group": "C2/m",
  "n_ef_per_ev_cell": 8.4,
  "formation_energy_uncorrected_ev_per_atom": -1.29,
  "lattice_angstrom": [[4.5868, 0.0000, 0.0000], [0.0000, 9.7453, -0.0194], [-2.2934, -3.1900, 10.0440]],
  "species": ["Cl", "Cl", "Cl", "Ba", "Ba", "Ba", "Ba", "Ba", "Ba", "Pt", "Pt", "Hg"],
  "fractional_positions": [[0.8321, 0.1708, 0.6642], [0.5000, 0.5000, 0.0000], [0.1679, 0.8292, 0.3358], [0.3241, 0.4357, 0.6482], [0.0088, 0.2563, 0.0176], [0.6680, 0.1063, 0.3359], [0.3320, 0.8937, 0.6641], [0.6759, 0.5643, 0.3518], [0.9912, 0.7437, 0.9824], [0.1658, 0.3314, 0.3315], [0.8342, 0.6686, 0.6685], [0.5000, 0.0000, 0.0000]]
}

no.,theoretical density (g/cm³)
1,7.45
2,7.14
3,5.63